No. 1
# BeZnRu2

A relaxed structure of BeZnRu2 (PBE, Alexandria).

a b c (Å): 4.1199 4.1197 2.9433
angles (deg): 90.00 90.00 90.05
Closest atoms and distances in Å follow each position.
Sites, in units of the cell vectors:
Be 0.0000 0.5000 0.5000  8 Ru 2.53
Zn 0.5000 0.0000 0.5000  8 Ru 2.53
Ru 0.5000 0.5000 0.0000  4 Zn 2.53, 4 Be 2.53
Ru 0.0000 0.0000 0.0000  4 Be 2.53, 4 Zn 2.53

Energy relative to the elements ... 29.0 kJ/mol of formula units
N(E_F) ... 5.3 states/eV/f.u.

=====

No. 2
# LaMo3As

A relaxed structure of LaMo3As (PBE, Alexandria).

a b c (Å): 4.7623 4.7623 4.7623
angles (deg): 90.00 90.00 90.00
Closest atoms and distances in Å follow each position.
Sites, in units of the cell vectors:
As 0.0000 0.0000 0.0000  6 Mo 2.38
Mo 0.0000 0.5000 0.0000  2 As 2.38
Mo 0.5000 0.0000 0.0000  2 As 2.38
Mo 0.0000 0.0000 0.5000  2 As 2.38
La 0.5000 0.5000 0.5000  12 Mo 3.37

Excess energy over the best structure of this formula in the dataset ... 0.0000 eV per atom
Energy relative to the elements ... 349.8 kJ/mol of formula units
N(E_F) ... 4.3 states/eV/f.u.

=====

No. 3
# Ca3TlP

A relaxed structure of Ca3TlP (PBE, Alexandria).

a b c (Å): 18.1781 6.9871 6.9871
angles (deg): 131.93 143.83 36.17
Closest atoms and distances in Å follow each position.
Sites, in units of the cell vectors:
P 0.9323 0.9340 0.0660  6 Ca 2.78-2.86
P 0.0677 0.0660 0.9340  6 Ca 2.78-2.86
Ca 0.3536 0.8123 0.1877  1 P 2.78
Ca 0.9003 0.4677 0.5323  3 P 2.82-2.86
Ca 0.0997 0.5323 0.4677  3 P 2.82-2.86
Ca 0.6464 0.1877 0.8123  1 P 2.78
Ca 0.2189 0.6820 0.3180  2 P 2.79-2.80
Ca 0.7811 0.3180 0.6820  2 P 2.79-2.80
Tl 0.4439 0.9491 0.0509  1 Tl 3.25, 6 Ca 3.29-3.50
Tl 0.5561 0.0509 0.9491  1 Tl 3.25, 6 Ca 3.29-3.50

Excess energy over the best structure of this formula in the dataset ... 0.0254 eV per atom
Energy relative to the elements ... -335.1 kJ/mol of formula units
N(E_F) ... 1.5 states/eV/f.u.

=====

No. 4
# LaSm6Tl3

A relaxed structure of LaSm6Tl3 (PBE, Alexandria).

a b c (Å): 5.3810 10.1557 11.5999
angles (deg): 101.73 90.00 90.00
Closest atoms and distances in Å follow each position.
Sites, in units of the cell vectors:
Sm 0.7500 0.3594 0.3088  5 Tl 3.26-3.43, 2 Sm 3.53, 1 La 3.60
Sm 0.7500 0.7240 0.4809  4 Tl 3.30-3.32, 1 Sm 3.42, 3 La 3.53-3.64
Sm 0.2500 0.8148 0.2794  4 Tl 3.26-3.47, 1 Sm 3.43, 1 La 3.64
Sm 0.7500 0.8651 0.7746  8 Sm 3.42-3.82, 2 La 3.64
Sm 0.2500 0.6406 0.6912  5 Tl 3.26-3.43, 2 Sm 3.53, 1 La 3.60
Sm 0.2500 0.2760 0.5191  4 Tl 3.30-3.32, 1 Sm 3.42, 3 La 3.53-3.64
Sm 0.2500 0.0727 0.9093  4 Tl 3.32-3.40, 3 Sm 3.58-3.59, 1 La 3.61
Sm 0.2500 0.4514 0.0957  6 Tl 3.26-3.44
Sm 0.7500 0.5486 0.9043  6 Tl 3.26-3.44
Sm 0.2500 0.1349 0.2254  8 Sm 3.42-3.82, 2 La 3.64
Sm 0.7500 0.1852 0.7206  4 Tl 3.26-3.47, 1 Sm 3.43, 1 La 3.64
Sm 0.7500 0.9273 0.0907  4 Tl 3.32-3.40, 3 Sm 3.58-3.59, 1 La 3.61
Tl 0.7500 0.6422 0.1905  8 Sm 3.26-3.43
Tl 0.7500 0.2389 0.0261  7 Sm 3.26-3.47
Tl 0.7500 0.4590 0.6076  8 Sm 3.29-3.41
Tl 0.2500 0.7611 0.9739  7 Sm 3.26-3.47
Tl 0.2500 0.3578 0.8095  8 Sm 3.26-3.43
Tl 0.2500 0.5410 0.3924  8 Sm 3.29-3.41
La 0.7500 0.0440 0.4058  10 Sm 3.53-3.66, 2 La 3.69
La 0.2500 0.9560 0.5942  10 Sm 3.53-3.66, 2 La 3.69

Excess energy over the best structure of this formula in the dataset ... 0.0000 eV per atom
Energy relative to the elements ... -197.5 kJ/mol of formula units
N(E_F) ... 11.8 states/eV/f.u.

=====

Question: What is the formula in the third record?
Answer: Ca3TlP

=====

Question: The highest N(E_F) belongs to which entry?
Answer: LaSm6Tl3

=====

Question: Look up the N(E_F) of the fourth one.
Answer: 11.8 states/eV/f.u.